No. 1
Here is an optimized crystal structure of CdSiAu2 from Alexandria. Energies are from GGA-PBE.

E_form (uncorrected): 0.0022 eV per atom

a b c (Å): 8.0214 8.0214 8.0214
angles (deg): 24.30 24.30 24.30
Fractional coordinates of all 4 atoms:
Cd  0.0000  0.0000  0.0000
Si  0.8329  0.8329  0.8329
Au  0.2391  0.2391  0.2391
Au  0.4274  0.4274  0.4274


No. 2
Here is an optimized crystal structure of BaTl2Cd from Alexandria. Energies are from GGA-PBE.

ΔE_f: -0.096 eV/atom

a b c (Å): 6.8089 6.8089 3.8451
angles (deg): 103.38 103.38 118.92
Fractional coordinates of all 4 atoms:
Ba  0.0000  0.0000  0.0000
Tl  0.0000  0.5000  0.5000
Tl  0.5000  0.0000  0.5000
Cd  0.5000  0.5000  0.0000


No. 3
Here is an optimized crystal structure of Sm3In4Hg4 from Alexandria. Energies are from GGA-PBE.

ΔE_f: -0.340 eV/atom

a b c (Å): 3.7016 5.0152 15.5873
angles (deg): 80.87 83.23 89.99
Fractional coordinates of all 11 atoms:
Sm  0.0000  0.0000  0.0000
Sm  0.1397  0.6389  0.7202
Sm  0.8603  0.3611  0.2798
In  0.2631  0.2638  0.4738
In  0.4113  0.9099  0.1831
In  0.5887  0.0901  0.8169
In  0.7369  0.7362  0.5262
Hg  0.3143  0.8170  0.3676
Hg  0.4535  0.4541  0.0934
Hg  0.5465  0.5459  0.9066
Hg  0.6857  0.1830  0.6324


Number 1: D(E_F) 1.28 states/eV/f.u., energy -3.22 eV/atom. Number 2: D(E_F) 3.05 states/eV/f.u., energy -1.99 eV/atom. Number 3: D(E_F) 6.23 states/eV/f.u., energy -2.73 eV/atom.